This record from the Open Quantum Materials Database describes a relaxed Li5CoO4 crystal. The functional is PBE+U.

abc: 4.983 3.157 5.224
angles: 90.00 92.13 90.00
Fractional positions:
Li 0.000 0.000 0.000
Li 0.340 0.500 0.159
Li 0.371 0.000 0.673
Li 0.629 0.000 0.327
Li 0.660 0.500 0.841
Co 0.000 0.500 0.500
O 0.229 0.000 0.335
O 0.237 0.500 0.807
O 0.763 0.500 0.193
O 0.771 0.000 0.665

Energy above the most stable polymorph in this dataset: 71 meV/atom
Calculated total energy: -0.3723 Ry per atom